Record 1
Material: Na2VSe
Method: DFT, PBE
State: optimized geometry

a = 10.461 Å, b = 10.461 Å, c = 4.826 Å
α = 90.00°, β = 90.00°, γ = 90.00°
Fractional positions:
Na (0.109, 0.250, 0.125)
Na (0.250, 0.609, 0.375)
Na (0.250, 0.891, 0.875)
Na (0.391, 0.250, 0.625)
Na (0.609, 0.750, 0.625)
Na (0.750, 0.109, 0.875)
Na (0.750, 0.391, 0.375)
Na (0.891, 0.750, 0.125)
V (0.000, 0.000, 0.500)
V (0.000, 0.500, 0.750)
V (0.500, 0.000, 0.250)
V (0.500, 0.500, 0.000)
Se (0.000, 0.000, 0.000)
Se (0.000, 0.500, 0.250)
Se (0.500, 0.000, 0.750)
Se (0.500, 0.500, 0.500)

Fermi-level density of states: 2.7 states/eV/f.u.
space group: I-42d
formation energy from raw total energies: 0.017 eV/atom

Record 2
Material: UCl3O
Method: DFT, PBE
State: optimized geometry

a = 4.154 Å, b = 10.438 Å, c = 7.774 Å
α = 90.00°, β = 105.47°, γ = 90.00°
Fractional positions:
U (0.134, 0.250, 0.268)
U (0.866, 0.750, 0.732)
Cl (0.032, 0.750, 0.062)
Cl (0.369, 0.580, 0.737)
Cl (0.369, 0.920, 0.737)
Cl (0.631, 0.080, 0.263)
Cl (0.631, 0.420, 0.263)
Cl (0.968, 0.250, 0.938)
O (0.254, 0.250, 0.509)
O (0.746, 0.750, 0.491)

Fermi-level density of states: 4.8 states/eV/f.u.
space group: P2_1/m
formation energy from raw total energies: -1.982 eV/atom

Record 3
Material: Pu2Mo3N5
Method: DFT, PBE
State: optimized geometry

a = 5.864 Å, b = 5.864 Å, c = 8.170 Å
α = 124.40°, β = 124.40°, γ = 31.39°
Fractional positions:
Pu (0.169, 0.169, 0.266)
Pu (0.831, 0.831, 0.734)
Mo (0.000, 0.000, 0.500)
Mo (0.379, 0.379, 0.119)
Mo (0.621, 0.621, 0.881)
N (0.203, 0.203, 0.796)
N (0.411, 0.411, 0.591)
N (0.500, 0.500, 0.000)
N (0.589, 0.589, 0.409)
N (0.797, 0.797, 0.204)

Fermi-level density of states: 11.7 states/eV/f.u.
space group: C2/m
formation energy from raw total energies: -0.781 eV/atom

Record 4
Material: K3TaBr
Method: DFT, PBE
State: optimized geometry

a = 6.632 Å, b = 6.632 Å, c = 6.632 Å
α = 90.00°, β = 90.00°, γ = 90.00°
Fractional positions:
K (0.000, 0.000, 0.500)
K (0.000, 0.500, 0.000)
K (0.500, 0.000, 0.000)
Ta (0.000, 0.000, 0.000)
Br (0.500, 0.500, 0.500)

Fermi-level density of states: 2.6 states/eV/f.u.
space group: Pm-3m
formation energy from raw total energies: 0.824 eV/atom

Record 5
Material: VCr2Si6
Method: DFT, PBE
State: optimized geometry

a = 4.467 Å, b = 4.467 Å, c = 6.331 Å
α = 90.00°, β = 90.00°, γ = 119.74°
Fractional positions:
V (0.000, 0.000, 0.000)
Cr (0.000, 0.500, 0.665)
Cr (0.500, 0.000, 0.335)
Si (0.170, 0.337, 0.334)
Si (0.335, 0.665, 0.000)
Si (0.337, 0.170, 0.666)
Si (0.663, 0.830, 0.666)
Si (0.665, 0.335, 0.000)
Si (0.830, 0.663, 0.334)

Fermi-level density of states: 4.2 states/eV/f.u.
space group: C222
formation energy from raw total energies: -0.399 eV/atom

Record 6
Material: FeRuRh2
Method: DFT, PBE
State: optimized geometry

a = 6.066 Å, b = 6.066 Å, c = 6.066 Å
α = 90.00°, β = 90.00°, γ = 90.00°
Fractional positions:
Fe (0.000, 0.000, 0.000)
Fe (0.000, 0.500, 0.500)
Fe (0.500, 0.000, 0.500)
Fe (0.500, 0.500, 0.000)
Ru (0.250, 0.250, 0.750)
Ru (0.250, 0.750, 0.250)
Ru (0.750, 0.250, 0.250)
Ru (0.750, 0.750, 0.750)
Rh (0.000, 0.000, 0.500)
Rh (0.000, 0.500, 0.000)
Rh (0.250, 0.250, 0.250)
Rh (0.250, 0.750, 0.750)
Rh (0.500, 0.000, 0.000)
Rh (0.500, 0.500, 0.500)
Rh (0.750, 0.250, 0.750)
Rh (0.750, 0.750, 0.250)

Fermi-level density of states: 6.5 states/eV/f.u.
calculated formation energy: 0.277 eV per atom
space group: F-43m

Record 7
Material: RbNa2ZrCo
Method: DFT, PBE
State: optimized geometry

a = 5.951 Å, b = 5.951 Å, c = 4.577 Å
α = 90.00°, β = 90.00°, γ = 90.00°
Fractional positions:
Rb (0.000, 0.000, 0.000)
Na (0.000, 0.500, 0.500)
Na (0.500, 0.000, 0.500)
Zr (0.500, 0.500, 0.000)
Co (0.500, 0.500, 0.500)

Fermi-level density of states: 2.9 states/eV/f.u.
calculated formation energy: 0.585 eV per atom
space group: P4/mmm

Record 8
Material: SrAcSm
Method: DFT, PBE
State: optimized geometry

a = 3.941 Å, b = 3.941 Å, c = 16.695 Å
α = 90.00°, β = 90.00°, γ = 90.00°
Fractional positions:
Sr (0.000, 0.000, 0.000)
Sr (0.500, 0.500, 0.500)
Ac (0.000, 0.000, 0.685)
Ac (0.500, 0.500, 0.185)
Sm (0.000, 0.000, 0.330)
Sm (0.500, 0.500, 0.830)

Fermi-level density of states: 3.9 states/eV/f.u.
calculated formation energy: 0.078 eV per atom
space group: I4mm

Record 9
Material: TaZnPd
Method: DFT, PBE
State: optimized geometry

a = 2.859 Å, b = 2.859 Å, c = 11.505 Å
α = 90.00°, β = 90.00°, γ = 90.00°
Fractional positions:
Ta (0.000, 0.000, 0.000)
Ta (0.500, 0.500, 0.500)
Zn (0.000, 0.000, 0.329)
Zn (0.500, 0.500, 0.829)
Pd (0.000, 0.000, 0.674)
Pd (0.500, 0.500, 0.174)

Fermi-level density of states: 1.9 states/eV/f.u.
calculated formation energy: -0.244 eV per atom
space group: I4mm

Record 10
Material: CaSmP2O8
Method: DFT, PBE
State: optimized geometry

a = 5.404 Å, b = 5.404 Å, c = 7.133 Å
α = 90.00°, β = 90.00°, γ = 120.00°
Fractional positions:
Ca (0.000, 0.000, 0.000)
Sm (0.000, 0.000, 0.500)
P (0.333, 0.667, 0.797)
P (0.667, 0.333, 0.203)
O (0.177, 0.354, 0.726)
O (0.177, 0.823, 0.726)
O (0.333, 0.667, 0.013)
O (0.354, 0.177, 0.274)
O (0.646, 0.823, 0.726)
O (0.667, 0.333, 0.987)
O (0.823, 0.177, 0.274)
O (0.823, 0.646, 0.274)

Fermi-level density of states: 9.5 states/eV/f.u.
space group: P-3m1
formation energy from raw total energies: -2.594 eV/atom

Record 11
Material: CrSbTeI2
Method: DFT, PBE
State: optimized geometry

a = 5.107 Å, b = 5.107 Å, c = 5.487 Å
α = 90.00°, β = 90.00°, γ = 90.00°
Fractional positions:
Cr (0.000, 0.000, 0.000)
Sb (0.000, 0.000, 0.500)
Te (0.500, 0.500, 0.500)
I (0.000, 0.500, 0.000)
I (0.500, 0.000, 0.000)

Fermi-level density of states: 6.5 states/eV/f.u.
space group: P4/mmm
formation energy from raw total energies: 0.510 eV/atom

Record 12
Material: K3Pm3TiTe8
Method: DFT, PBE
State: optimized geometry

a = 9.901 Å, b = 9.901 Å, c = 9.901 Å
α = 53.30°, β = 53.30°, γ = 53.30°
Fractional positions:
K (0.000, 0.500, 0.500)
K (0.500, 0.000, 0.500)
K (0.500, 0.500, 0.000)
Pm (0.000, 0.000, 0.500)
Pm (0.000, 0.500, 0.000)
Pm (0.500, 0.000, 0.000)
Ti (0.500, 0.500, 0.500)
Te (0.239, 0.239, 0.239)
Te (0.262, 0.717, 0.717)
Te (0.283, 0.283, 0.738)
Te (0.283, 0.738, 0.283)
Te (0.717, 0.262, 0.717)
Te (0.717, 0.717, 0.262)
Te (0.738, 0.283, 0.283)
Te (0.761, 0.761, 0.761)

space group: R-3m
formation energy from raw total energies: -1.214 eV/atom